(1)
First-principles (PBE) data for a relaxed Sc2CdIn crystal, as listed in the Open Quantum Materials Database.

Summary:
**Calculated total energy**: -4.1266 eV/atom
**Mass density**: 5.193 g/cm3

a b c (Å): 4.9725 4.9725 9.4723
angles (deg): 90.00 90.00 120.00
Last column: nearest neighbours and their distance in Å.
Sites, in units of the cell vectors:
Sc: 0.3333 0.6667 0.0852  3 In 2.98, 4 Sc 3.12-3.29, 4 Cd 3.18-3.27
Sc: 0.3333 0.6667 0.4148  3 In 2.98, 4 Sc 3.12-3.29, 4 Cd 3.18-3.27
Sc: 0.6667 0.3333 0.5852  3 In 2.98, 4 Sc 3.12-3.29, 4 Cd 3.18-3.27
Sc: 0.6667 0.3333 0.9148  3 In 2.98, 4 Sc 3.12-3.29, 4 Cd 3.18-3.27
Cd: 0.3333 0.6667 0.7500  8 Sc 3.18-3.27
Cd: 0.6667 0.3333 0.2500  8 Sc 3.18-3.27
In: 0.0000 0.0000 0.0000  6 Sc 2.98
In: 0.0000 0.0000 0.5000  6 Sc 2.98

=====

(2)
First-principles (PBE) data for a relaxed Sc2CdIn crystal, as listed in the Open Quantum Materials Database.

Summary:
**Calculated total energy**: -4.1296 eV/atom
**Mass density**: 5.441 g/cm3

a b c (Å): 4.8700 4.8700 9.4244
angles (deg): 90.00 90.00 120.00
Last column: nearest neighbours and their distance in Å.
Sites, in units of the cell vectors:
Sc: 0.3333 0.6667 0.0894  4 Sc 3.03-3.28, 3 Cd 3.19, 4 In 3.19-3.20
Sc: 0.3333 0.6667 0.4106  4 Sc 3.03-3.28, 3 Cd 3.19, 4 In 3.19-3.20
Sc: 0.6667 0.3333 0.5894  4 Sc 3.03-3.28, 3 Cd 3.19, 4 In 3.19-3.20
Sc: 0.6667 0.3333 0.9106  4 Sc 3.03-3.28, 3 Cd 3.19, 4 In 3.19-3.20
Cd: 0.0000 0.0000 0.2500  3 In 2.81
Cd: 0.0000 0.0000 0.7500  3 In 2.81
In: 0.3333 0.6667 0.7500  3 Cd 2.81
In: 0.6667 0.3333 0.2500  3 Cd 2.81

=====

(3)
First-principles (PBE) data for a relaxed Sc2Cd3In3 crystal, as listed in the Open Quantum Materials Database.

Summary:
**Calculated total energy**: -3.1960 eV/atom
**Mass density**: 7.181 g/cm3

a b c (Å): 6.2628 5.0954 6.3575
angles (deg): 90.00 118.43 90.00
Last column: nearest neighbours and their distance in Å.
Sites, in units of the cell vectors:
Sc: 0.0000 0.0000 0.0000  6 In 3.12-3.19, 6 Cd 3.14-3.23
Sc: 0.3321 0.5000 0.6877  6 In 3.12-3.14, 6 Cd 3.16-3.25
Cd: 0.3323 0.5000 0.1869  4 Cd 3.07-3.19, 4 Sc 3.14-3.18, 4 In 3.16-3.28
Cd: 0.4947 0.0000 0.5049  6 In 3.07-3.20, 2 Cd 3.11, 4 Sc 3.16-3.23
Cd: 0.8379 0.5000 0.1778  2 Cd 3.07-3.19, 6 In 3.12-3.21, 4 Sc 3.15-3.25
In: 0.0021 0.0000 0.4995  4 Cd 3.07-3.19, 4 Sc 3.14-3.19, 4 In 3.18-3.28
In: 0.5038 0.0000 0.0131  4 Sc 3.12-3.15, 6 Cd 3.14-3.20, 2 In 3.18-3.28
In: 0.8250 0.5000 0.6772  4 Sc 3.12-3.14, 6 Cd 3.13-3.28, 2 In 3.19

=====

(4)
First-principles (PBE) data for a relaxed Sc2Cd3In3 crystal, as listed in the Open Quantum Materials Database.

Summary:
**Calculated total energy**: -3.2463 eV/atom
**Mass density**: 7.235 g/cm3

a b c (Å): 4.4483 4.5341 8.7808
angles (deg): 90.00 90.00 90.00
Last column: nearest neighbours and their distance in Å.
Sites, in units of the cell vectors:
Sc: 0.0000 0.0000 0.2476  6 In 3.11-3.14, 6 Cd 3.17-3.18
Sc: 0.0000 0.0000 0.7524  6 In 3.11-3.14, 6 Cd 3.17-3.18
Cd: 0.0000 0.5000 0.5000  4 Cd 3.09, 4 Sc 3.17, 4 In 3.18
Cd: 0.5000 0.5000 0.2550  2 Cd 3.09, 6 In 3.13-3.19, 4 Sc 3.18
Cd: 0.5000 0.5000 0.7450  2 Cd 3.09, 6 In 3.13-3.19, 4 Sc 3.18
In: 0.0000 0.5000 0.0000  4 Sc 3.14, 4 Cd 3.16, 4 In 3.18
In: 0.5000 0.0000 0.0000  4 Sc 3.11, 4 In 3.18, 4 Cd 3.19
In: 0.5000 0.0000 0.5000  8 Cd 3.13-3.18, 4 Sc 3.14

=====

(5)
First-principles (PBE) data for a relaxed Sc2CdIn crystal, as listed in the Open Quantum Materials Database.

Summary:
**Calculated total energy**: -4.4567 eV/atom
**Mass density**: 5.964 g/cm3

a b c (Å): 7.0687 7.0687 7.0687
angles (deg): 90.00 90.00 90.00
Last column: nearest neighbours and their distance in Å.
Sites, in units of the cell vectors:
Sc: 0.2500 0.2500 0.2500  4 Cd 3.06, 4 In 3.06
Sc: 0.2500 0.2500 0.7500  4 Cd 3.06, 4 In 3.06
Sc: 0.2500 0.7500 0.2500  4 Cd 3.06, 4 In 3.06
Sc: 0.2500 0.7500 0.7500  4 Cd 3.06, 4 In 3.06
Sc: 0.7500 0.2500 0.2500  4 Cd 3.06, 4 In 3.06
Sc: 0.7500 0.2500 0.7500  4 Cd 3.06, 4 In 3.06
Sc: 0.7500 0.7500 0.2500  4 Cd 3.06, 4 In 3.06
Sc: 0.7500 0.7500 0.7500  4 Cd 3.06, 4 In 3.06
Cd: 0.0000 0.0000 0.0000  8 Sc 3.06
Cd: 0.0000 0.5000 0.5000  8 Sc 3.06
Cd: 0.5000 0.0000 0.5000  8 Sc 3.06
Cd: 0.5000 0.5000 0.0000  8 Sc 3.06
In: 0.0000 0.0000 0.5000  8 Sc 3.06
In: 0.0000 0.5000 0.0000  8 Sc 3.06
In: 0.5000 0.0000 0.0000  8 Sc 3.06
In: 0.5000 0.5000 0.5000  8 Sc 3.06

=====

(6)
First-principles (PBE) data for a relaxed SmCdInSe3 crystal, as listed in the Open Quantum Materials Database.

Summary:
**Calculated total energy**: -4.1303 eV/atom
**Mass density**: 6.027 g/cm3

a b c (Å): 12.3594 4.3635 12.5561
angles (deg): 90.00 90.00 90.00
Last column: nearest neighbours and their distance in Å.
Sites, in units of the cell vectors:
Sm: 0.0264 0.2500 0.1729  6 Se 2.95-3.06
Sm: 0.4736 0.7500 0.6729  6 Se 2.95-3.06
Sm: 0.5264 0.2500 0.3271  6 Se 2.95-3.06
Sm: 0.9736 0.7500 0.8271  6 Se 2.95-3.06
Cd: 0.2456 0.7500 0.3051  4 Se 2.63-2.71
Cd: 0.2544 0.2500 0.8051  4 Se 2.63-2.71
Cd: 0.7456 0.7500 0.1949  4 Se 2.63-2.71
Cd: 0.7544 0.2500 0.6949  4 Se 2.63-2.71
In: 0.1597 0.2500 0.5088  3 Se 3.05-3.18
In: 0.3403 0.7500 0.0088  3 Se 3.05-3.18
In: 0.6597 0.2500 0.9912  3 Se 3.05-3.18
In: 0.8403 0.7500 0.4912  3 Se 3.05-3.18
Se: 0.0315 0.7500 0.3379  1 Cd 2.68
Se: 0.0898 0.2500 0.9376  1 Cd 2.63
Se: 0.2346 0.7500 0.6782  2 Cd 2.71, 1 Sm 2.95
Se: 0.2654 0.2500 0.1782  2 Cd 2.71, 1 Sm 2.95
Se: 0.4102 0.7500 0.4376  1 Cd 2.63
Se: 0.4685 0.2500 0.8379  1 Cd 2.68
Se: 0.5315 0.7500 0.1621  1 Cd 2.68
Se: 0.5898 0.2500 0.5624  1 Cd 2.63
Se: 0.7346 0.7500 0.8218  2 Cd 2.71, 1 Sm 2.95
Se: 0.7654 0.2500 0.3218  2 Cd 2.71, 1 Sm 2.95
Se: 0.9102 0.7500 0.0624  1 Cd 2.63
Se: 0.9685 0.2500 0.6621  1 Cd 2.68

=====

(7)
First-principles (PBE) data for a relaxed SmCdInSe3 crystal, as listed in the Open Quantum Materials Database.

Summary:
**Calculated total energy**: -4.1458 eV/atom
**Mass density**: 5.841 g/cm3

a b c (Å): 7.5347 7.5347 11.2714
angles (deg): 90.00 90.00 146.91
Last column: nearest neighbours and their distance in Å.
Sites, in units of the cell vectors:
Sm: 0.0000 0.0000 0.0000  6 Se 2.96-3.02
Sm: 0.0000 0.0000 0.5000  6 Se 2.96-3.02
Cd: 0.4602 0.5398 0.7500  4 Se 2.63-2.72
Cd: 0.5398 0.4602 0.2500  4 Se 2.63-2.72
In: 0.2511 0.7489 0.2500  6 Se 3.29-3.52
In: 0.7489 0.2511 0.7500  6 Se 3.29-3.52
Se: 0.0760 0.9240 0.7500  2 Cd 2.72, 2 Sm 3.02
Se: 0.3645 0.6355 0.5519  1 Cd 2.63
Se: 0.3645 0.6355 0.9481  1 Cd 2.63
Se: 0.6355 0.3645 0.0519  1 Cd 2.63
Se: 0.6355 0.3645 0.4481  1 Cd 2.63
Se: 0.9240 0.0760 0.2500  2 Cd 2.72, 2 Sm 3.02

=====

(8)
First-principles (PBE) data for a relaxed TbCdInSe3 crystal, as listed in the Open Quantum Materials Database.

Summary:
**Calculated total energy**: -4.1058 eV/atom
**Mass density**: 6.177 g/cm3

a b c (Å): 12.5118 4.2676 12.5474
angles (deg): 90.00 90.00 90.00
Last column: nearest neighbours and their distance in Å.
Sites, in units of the cell vectors:
Tb: 0.0300 0.2500 0.1682  6 Se 2.88-3.00
Tb: 0.4700 0.7500 0.6682  6 Se 2.88-3.00
Tb: 0.5300 0.2500 0.3318  6 Se 2.88-3.00
Tb: 0.9700 0.7500 0.8318  6 Se 2.88-3.00
Cd: 0.2442 0.7500 0.3087  4 Se 2.63-2.71
Cd: 0.2558 0.2500 0.8087  4 Se 2.63-2.71
Cd: 0.7442 0.7500 0.1913  4 Se 2.63-2.71
Cd: 0.7558 0.2500 0.6913  4 Se 2.63-2.71
In: 0.1555 0.2500 0.5137  3 Se 3.03-3.13
In: 0.3445 0.7500 0.0136  3 Se 3.03-3.13
In: 0.6555 0.2500 0.9864  3 Se 3.03-3.13
In: 0.8445 0.7500 0.4864  3 Se 3.03-3.13
Se: 0.0303 0.7500 0.3312  1 Cd 2.69, 2 Tb 2.96
Se: 0.0891 0.2500 0.9363  1 Cd 2.63, 2 Tb 2.91
Se: 0.2402 0.7500 0.6759  2 Cd 2.71, 1 Tb 2.88
Se: 0.2598 0.2500 0.1759  2 Cd 2.71, 1 Tb 2.88
Se: 0.4109 0.7500 0.4363  1 Cd 2.63, 2 Tb 2.91
Se: 0.4697 0.2500 0.8312  1 Cd 2.69, 2 Tb 2.96
Se: 0.5303 0.7500 0.1688  1 Cd 2.69, 2 Tb 2.96
Se: 0.5891 0.2500 0.5637  1 Cd 2.63, 2 Tb 2.91
Se: 0.7402 0.7500 0.8241  2 Cd 2.71, 1 Tb 2.88
Se: 0.7598 0.2500 0.3241  2 Cd 2.71, 1 Tb 2.88
Se: 0.9109 0.7500 0.0637  1 Cd 2.63, 2 Tb 2.91
Se: 0.9697 0.2500 0.6688  1 Cd 2.69, 2 Tb 2.96

=====

(9)
First-principles (PBE) data for a relaxed TbCdInSe3 crystal, as listed in the Open Quantum Materials Database.

Summary:
**Calculated total energy**: -4.1311 eV/atom
**Mass density**: 6.074 g/cm3

a b c (Å): 7.5356 7.5356 11.1161
angles (deg): 90.00 90.00 147.34
Last column: nearest neighbours and their distance in Å.
Sites, in units of the cell vectors:
Tb: 0.0000 0.0000 0.0000  6 Se 2.92-2.98
Tb: 0.0000 0.0000 0.5000  6 Se 2.92-2.98
Cd: 0.4585 0.5415 0.7500  4 Se 2.62-2.71
Cd: 0.5415 0.4585 0.2500  4 Se 2.62-2.71
In: 0.2519 0.7481 0.2500  6 Se 3.28-3.53
In: 0.7481 0.2519 0.7500  6 Se 3.28-3.53
Se: 0.0751 0.9249 0.7500  2 Cd 2.71, 2 Tb 2.98
Se: 0.3661 0.6339 0.5476  1 Cd 2.62, 2 Tb 2.92
Se: 0.3661 0.6339 0.9524  1 Cd 2.62, 2 Tb 2.92
Se: 0.6339 0.3661 0.0476  1 Cd 2.62, 2 Tb 2.92
Se: 0.6339 0.3661 0.4524  1 Cd 2.62, 2 Tb 2.92
Se: 0.9249 0.0751 0.2500  2 Cd 2.71, 2 Tb 2.98

=====

(10)
First-principles (PBE) data for a relaxed CdIn2Te2Se2 crystal, as listed in the Open Quantum Materials Database.

Summary:
**Calculated total energy**: -3.2814 eV/atom
**Mass density**: 5.317 g/cm3

a b c (Å): 6.1650 6.2395 7.4446
angles (deg): 113.32 113.92 90.11
Last column: nearest neighbours and their distance in Å.
Sites, in units of the cell vectors:
Cd: 0.0000 0.0000 0.0000  2 Se 2.70-2.71, 2 Te 2.86-2.87
In: 0.5006 0.4751 0.0032  2 Se 2.65, 2 Te 2.83
In: 0.7328 0.2380 0.5019  2 Se 2.65, 2 Te 2.84
Te: 0.1347 0.6177 0.7188  2 In 2.83-2.84, 1 Cd 2.87
Te: 0.9103 0.8487 0.2839  2 In 2.83-2.84, 1 Cd 2.86
Se: 0.3670 0.3815 0.2649  2 In 2.65, 1 Cd 2.71
Se: 0.5978 0.0980 0.7406  2 In 2.65, 1 Cd 2.70

=====

(11)
First-principles (PBE) data for a relaxed CdIn2Te2Se2 crystal, as listed in the Open Quantum Materials Database.

Summary:
**Calculated total energy**: -3.2799 eV/atom
**Mass density**: 5.328 g/cm3

a b c (Å): 8.6387 12.1477 6.2030
angles (deg): 90.00 133.69 90.00
Last column: nearest neighbours and their distance in Å.
Sites, in units of the cell vectors:
Cd: 0.0000 0.0000 0.0000  2 Se 2.72, 2 Te 2.86
Cd: 0.5000 0.5000 0.0000  2 Se 2.72, 2 Te 2.86
In: 0.0000 0.4999 0.0000  2 Se 2.65, 2 Te 2.83
In: 0.0000 0.7381 0.5000  2 Se 2.66, 2 Te 2.83
In: 0.5000 0.9999 0.0000  2 Se 2.65, 2 Te 2.83
In: 0.5000 0.2381 0.5000  2 Se 2.66, 2 Te 2.83
Te: 0.2166 0.3571 0.4959  2 In 2.83, 1 Cd 2.86
Te: 0.2834 0.8571 0.5041  2 In 2.83, 1 Cd 2.86
Te: 0.7166 0.8571 0.4959  2 In 2.83, 1 Cd 2.86
Te: 0.7834 0.3571 0.5041  2 In 2.83, 1 Cd 2.86
Se: 0.2465 0.1311 0.9835  2 In 2.65-2.66, 1 Cd 2.72
Se: 0.2535 0.6311 0.0165  2 In 2.65-2.66, 1 Cd 2.72
Se: 0.7465 0.6311 0.9835  2 In 2.65-2.66, 1 Cd 2.72
Se: 0.7535 0.1311 0.0165  2 In 2.65-2.66, 1 Cd 2.72

=====

(12)
First-principles (PBE) data for a relaxed CdIn2Te3Se crystal, as listed in the Open Quantum Materials Database.

Summary:
**Calculated total energy**: -3.1829 eV/atom
**Mass density**: 5.401 g/cm3

a b c (Å): 6.2922 6.3083 7.6128
angles (deg): 114.36 113.18 91.01
Last column: nearest neighbours and their distance in Å.
Sites, in units of the cell vectors:
Cd: 0.0000 0.0000 0.0000  1 Se 2.71, 3 Te 2.87-2.88
In: 0.5155 0.5160 0.9996  1 Se 2.65, 3 Te 2.84
In: 0.7549 0.2727 0.5124  1 Se 2.66, 3 Te 2.84-2.85
Te: 0.1439 0.1031 0.7233  2 In 2.84-2.85, 1 Cd 2.88
Te: 0.3716 0.8707 0.2802  2 In 2.84-2.85, 1 Cd 2.87
Te: 0.9212 0.4289 0.2793  2 In 2.84, 1 Cd 2.87
Se: 0.6138 0.6371 0.7406  2 In 2.65-2.66, 1 Cd 2.71